(1)
VASP calculation (PBE) on a relaxed structure of Cd3MoPt12.

abc: 4.0105 4.0105 16.1606
angles: 90.00 90.00 90.00
With the nearest neighbours (Å) after each atom.
Fractional coordinates of all 16 atoms:
Cd1 0.0000 0.0000 0.2483  12 Pt 2.84-2.92
Cd2 0.0000 0.0000 0.5000  12 Pt 2.84-2.86
Cd3 0.0000 0.0000 0.7517  12 Pt 2.84-2.92
Mo1 0.0000 0.0000 0.0000  12 Pt 2.76-2.84
Pt1 0.5000 0.5000 0.0000  8 Pt 2.76, 4 Mo 2.84
Pt2 0.5000 0.5000 0.2461  4 Cd 2.84, 8 Pt 2.88-2.89
Pt3 0.5000 0.5000 0.5000  4 Cd 2.84, 8 Pt 2.86
Pt4 0.5000 0.5000 0.7539  4 Cd 2.84, 8 Pt 2.88-2.89
Pt5 0.5000 0.0000 0.1172  2 Mo 2.76, 8 Pt 2.76-2.89, 2 Cd 2.92
Pt6 0.5000 0.0000 0.3737  8 Pt 2.84-2.88, 4 Cd 2.85-2.86
Pt7 0.5000 0.0000 0.6263  8 Pt 2.84-2.88, 4 Cd 2.85-2.86
Pt8 0.5000 0.0000 0.8828  2 Mo 2.76, 8 Pt 2.76-2.89, 2 Cd 2.92
Pt9 0.0000 0.5000 0.1172  8 Pt 2.76-2.89, 2 Mo 2.76, 2 Cd 2.92
Pt10 0.0000 0.5000 0.3737  8 Pt 2.84-2.88, 4 Cd 2.85-2.86
Pt11 0.0000 0.5000 0.6263  8 Pt 2.84-2.88, 4 Cd 2.85-2.86
Pt12 0.0000 0.5000 0.8828  8 Pt 2.76-2.89, 2 Mo 2.76, 2 Cd 2.92

Summary:
Energy of formation from the pure elements ... -0.234 eV/atom
Energy ... -89.8 eV for the cell shown
ρ ... 17.72 Mg/m³
Space-group type ... P4/mmm, No. 123

(2)
VASP calculation (PBE) on a relaxed structure of CdMo2Pt.

abc: 4.9296 4.9296 4.9296
angles: 131.28 131.28 71.36
With the nearest neighbours (Å) after each atom.
Fractional coordinates of all 4 atoms:
Cd1 0.7500 0.2500 0.5000  8 Mo 2.85-2.88, 4 Pt 2.85
Mo1 0.0000 0.0000 0.0000  4 Cd 2.85, 4 Mo 2.85, 4 Pt 2.88
Mo2 0.2500 0.7500 0.5000  4 Pt 2.85, 4 Mo 2.85, 4 Cd 2.88
Pt1 0.5000 0.5000 0.0000  4 Cd 2.85, 8 Mo 2.85-2.88

Summary:
Energy of formation from the pure elements ... 0.190 eV/atom
Energy ... -27.9 eV for the cell shown
ρ ... 12.52 Mg/m³
Space-group type ... I-4m2, No. 119

no.,N(E_F) (states/eV/atom),volume (Å³ per atom)
1,1.068,16.25
2,0.636,16.55